# Si2SnRhO

A geometry-optimized Si2SnRhO structure (GGA-PBE, the Alexandria database).

```
Si2SnRhO
1.0
3.8591 -1.4818 0.0000
3.8591 1.4818 0.0000
-3.8147 0.0000 7.6401
Si Sn Rh O
2 1 1 1
Cartesian
0.0000 0.0000 0.0000 Si
4.5142 0.0000 2.1659 Si
-2.0375 0.0000 5.4564 Sn
2.2591 0.0000 1.0207 Rh
4.3087 0.0000 3.7683 O
```


# Hg2BrCl

A geometry-optimized Hg2BrCl structure (GGA-PBE, the Alexandria database).

```
Hg2BrCl
1.0
5.5081 -1.9012 0.0000
5.5081 1.9012 0.0000
-3.9376 0.0000 5.9641
Hg Br Cl
2 1 1
Cartesian
0.0000 0.0000 0.0000 Hg
7.1770 0.0000 1.3411 Hg
0.0061 0.0000 4.6677 Br
3.1789 0.0000 2.4403 Cl
```


Looking at formation energy (no corrections) for the records above, in order, we have -3.34 -1.15 eV per formula unit.
Looking at offset from the most stable computed form for the records above, in order, we have 0.1183 0.0584 eV per atom.
Looking at V for the records above, in order, we have 87.4 124.9 Å³ per cell.